A plane-wave DFT calculation with GGA-PBE was carried out for an optimized crystal structure of Nd2Tl3.

Values from the calculation:
SG = I-43d (220)
Energy relative to the lowest polymorph listed for this composition = 176 meV per atom
Raw total energy = -69.81 eV/cell
Crystal system = cubic

Lattice parameters (Å, degrees): 9.434 9.434 9.434 109.47 109.47 109.47
Element x y z (fractional)
1 Nd 0.000 0.423 0.500
2 Nd 0.000 0.923 0.500
3 Nd 0.077 0.077 0.077
4 Nd 0.423 0.500 0.000
5 Nd 0.500 0.000 0.423
6 Nd 0.500 0.000 0.923
7 Nd 0.577 0.577 0.577
8 Nd 0.923 0.500 0.000
9 Tl 0.012 0.262 0.750
10 Tl 0.238 0.250 0.488
11 Tl 0.250 0.488 0.238
12 Tl 0.250 0.762 0.512
13 Tl 0.262 0.750 0.012
14 Tl 0.488 0.238 0.250
15 Tl 0.512 0.250 0.762
16 Tl 0.738 0.988 0.750
17 Tl 0.750 0.012 0.262
18 Tl 0.750 0.738 0.988
19 Tl 0.762 0.512 0.250
20 Tl 0.988 0.750 0.738


A plane-wave DFT calculation with GGA-PBE was carried out for an optimized crystal structure of Nd3Tl5.

Values from the calculation:
SG = Cmcm (63)
Energy relative to the lowest polymorph listed for this composition = 0 meV per atom
Raw total energy = -58.22 eV/cell
Crystal system = orthorhombic

Lattice parameters (Å, degrees): 6.654 6.654 10.730 90.00 90.00 78.02
Element x y z (fractional)
1 Nd 0.121 0.879 0.750
2 Nd 0.296 0.296 0.000
3 Nd 0.296 0.296 0.500
4 Nd 0.704 0.704 0.000
5 Nd 0.704 0.704 0.500
6 Nd 0.879 0.121 0.250
7 Tl 0.009 0.427 0.750
8 Tl 0.194 0.806 0.041
9 Tl 0.194 0.806 0.459
10 Tl 0.427 0.009 0.250
11 Tl 0.494 0.506 0.250
12 Tl 0.506 0.494 0.750
13 Tl 0.573 0.991 0.750
14 Tl 0.806 0.194 0.541
15 Tl 0.806 0.194 0.959
16 Tl 0.991 0.573 0.250


A plane-wave DFT calculation with GGA-PBE was carried out for an optimized crystal structure of Nd2Tl3.

Values from the calculation:
SG = Fdd2 (43)
Energy relative to the lowest polymorph listed for this composition = 0 meV per atom
Raw total energy = -36.67 eV/cell
Crystal system = orthorhombic

Lattice parameters (Å, degrees): 8.699 6.505 9.859 60.15 40.43 79.42
Element x y z (fractional)
1 Nd 0.133 0.867 0.262
2 Nd 0.512 0.988 0.383
3 Nd 0.867 0.133 0.738
4 Nd 0.988 0.512 0.117
5 Tl 0.120 0.120 0.880
6 Tl 0.370 0.370 0.130
7 Tl 0.466 0.567 0.312
8 Tl 0.567 0.466 0.656
9 Tl 0.594 0.938 0.683
10 Tl 0.938 0.594 0.784


A plane-wave DFT calculation with GGA-PBE was carried out for an optimized crystal structure of Nd8Tl3.

Values from the calculation:
SG = R-3 (148)
Raw total energy = -44.52 eV/cell
Crystal system = trigonal

Lattice parameters (Å, degrees): 7.379 7.379 7.379 89.60 89.60 89.60
Element x y z (fractional)
1 Nd 0.141 0.141 0.141
2 Nd 0.182 0.621 0.361
3 Nd 0.361 0.182 0.621
4 Nd 0.379 0.639 0.818
5 Nd 0.621 0.361 0.182
6 Nd 0.639 0.818 0.379
7 Nd 0.818 0.379 0.639
8 Nd 0.859 0.859 0.859
9 Tl 0.000 0.000 0.500
10 Tl 0.000 0.500 0.000
11 Tl 0.500 0.000 0.000


A plane-wave DFT calculation with GGA-PBE was carried out for an optimized crystal structure of Nd3Tl4.

Values from the calculation:
SG = R-3 (148)
Energy relative to the lowest polymorph listed for this composition = 0 meV per atom
Raw total energy = -52.81 eV/cell
Crystal system = trigonal

Lattice parameters (Å, degrees): 8.732 8.732 8.732 113.70 113.70 113.70
Element x y z (fractional)
1 Nd 0.010 0.271 0.396
2 Nd 0.271 0.396 0.010
3 Nd 0.396 0.010 0.271
4 Nd 0.604 0.990 0.729
5 Nd 0.729 0.604 0.990
6 Nd 0.990 0.729 0.604
7 Tl 0.000 0.000 0.000
8 Tl 0.092 0.559 0.245
9 Tl 0.245 0.092 0.559
10 Tl 0.441 0.755 0.908
11 Tl 0.500 0.500 0.500
12 Tl 0.559 0.245 0.092
13 Tl 0.755 0.908 0.441
14 Tl 0.908 0.441 0.755


A plane-wave DFT calculation with GGA-PBE was carried out for an optimized crystal structure of Nd3Tl2.

Values from the calculation:
SG = Pnma (62)
Raw total energy = -80.85 eV/cell
Crystal system = orthorhombic

Lattice parameters (Å, degrees): 12.703 5.445 9.430 90.00 90.00 90.00
Element x y z (fractional)
1 Nd 0.088 0.250 0.083
2 Nd 0.088 0.750 0.584
3 Nd 0.250 0.250 0.751
4 Nd 0.250 0.750 0.251
5 Nd 0.412 0.250 0.084
6 Nd 0.412 0.750 0.583
7 Nd 0.588 0.250 0.417
8 Nd 0.588 0.750 0.916
9 Nd 0.750 0.250 0.749
10 Nd 0.750 0.750 0.249
11 Nd 0.912 0.250 0.416
12 Nd 0.912 0.750 0.917
13 Tl 0.000 0.250 0.750
14 Tl 0.000 0.750 0.250
15 Tl 0.249 0.250 0.417
16 Tl 0.251 0.750 0.917
17 Tl 0.500 0.250 0.750
18 Tl 0.500 0.750 0.250
19 Tl 0.749 0.250 0.083
20 Tl 0.751 0.750 0.583


A plane-wave DFT calculation with GGA-PBE was carried out for an optimized crystal structure of NdTl7.

Values from the calculation:
SG = Fm-3m (225)
Raw total energy = -22.30 eV/cell
Crystal system = cubic

Lattice parameters (Å, degrees): 6.940 6.940 6.940 60.00 60.00 60.00
Element x y z (fractional)
1 Nd 0.000 0.000 0.000
2 Tl 0.000 0.000 0.500
3 Tl 0.000 0.500 0.000
4 Tl 0.000 0.500 0.500
5 Tl 0.500 0.000 0.000
6 Tl 0.500 0.000 0.500
7 Tl 0.500 0.500 0.000
8 Tl 0.500 0.500 0.500


A plane-wave DFT calculation with GGA-PBE was carried out for an optimized crystal structure of Nd7Tl3.

Values from the calculation:
SG = P6_3mc (186)
Energy relative to the lowest polymorph listed for this composition = 37 meV per atom
Raw total energy = -84.85 eV/cell
Crystal system = hexagonal

Lattice parameters (Å, degrees): 11.021 11.021 6.343 90.00 90.00 120.00
Element x y z (fractional)
1 Nd 0.057 0.528 0.000
2 Nd 0.121 0.242 0.228
3 Nd 0.121 0.879 0.228
4 Nd 0.242 0.121 0.728
5 Nd 0.333 0.667 0.417
6 Nd 0.472 0.528 0.000
7 Nd 0.472 0.943 0.000
8 Nd 0.528 0.057 0.500
9 Nd 0.528 0.472 0.500
10 Nd 0.667 0.333 0.917
11 Nd 0.758 0.879 0.228
12 Nd 0.879 0.121 0.728
13 Nd 0.879 0.758 0.728
14 Nd 0.943 0.472 0.500
15 Tl 0.194 0.388 0.702
16 Tl 0.194 0.806 0.702
17 Tl 0.388 0.194 0.202
18 Tl 0.612 0.806 0.702
19 Tl 0.806 0.194 0.202
20 Tl 0.806 0.612 0.202